No. 1
A relaxed Sr2LiAcTl4 crystal. Source: Alexandria, functional GGA-PBE.

Summary:
ΔH_f (0 K): -2.58 eV per formula unit

Cell lengths 5.6361, 5.6361, 28.3069 Å; angles 90.00, 90.00, 120.00 degrees
Space group R-3m (No. 166, hexagonal axes)
Asymmetric unit:
Sr1 0.0000 0.0000 0.2441 x6
Li1 0.0000 0.0000 0.5000 x3
Ac1 0.0000 0.0000 0.0000 x3
Tl1 0.0000 0.0000 0.1252 x6
Tl2 0.0000 0.0000 0.3836 x6



No. 2
A relaxed Mg4GaHg7 crystal. Source: Alexandria, functional GGA-PBE.

Summary:
ΔH_f (0 K): -1.18 eV per formula unit

Cell lengths 6.0866, 6.0998, 7.4671 Å; angles 96.46, 93.14, 96.70 degrees
Space group P-1 (No. 2)
Asymmetric unit:
Mg1 0.1254 0.2105 0.1582 x2
Mg2 0.3366 0.5124 0.8179 x2
Ga1 0.0000 0.0000 0.5000 x1
Hg1 0.0000 0.5000 0.5000 x1
Hg2 0.1904 0.7007 0.1637 x2
Hg3 0.3225 0.0298 0.8382 x2
Hg4 0.4588 0.2389 0.4643 x2



No. 3
A relaxed Tl2AgI4 crystal. Source: Alexandria, functional GGA-PBE.

Summary:
uncorrected energy: -2.347 eV per atom

Cell lengths 16.9859, 4.5236, 8.2616 Å; angles 90.00, 117.80, 90.00 degrees
Space group C2/m (No. 12)
Asymmetric unit:
Tl1 0.2299 0.0000 0.2325 x4
Ag1 0.0000 0.5000 0.5000 x2
I1 0.1101 0.5000 0.3162 x4
I2 0.1130 0.0000 0.7594 x4



No. 4
A relaxed HgPt2W crystal. Source: Alexandria, functional GGA-PBE.

Summary:
ΔH_f (0 K): 0.79 eV per formula unit

Cell lengths 4.9386, 4.9386, 2.8085 Å; angles 90.00, 90.00, 90.00 degrees
Space group P4/mmm (No. 123)
Asymmetric unit:
Hg1 0.0000 0.0000 0.0000 x1
Pt1 0.0000 0.5000 0.5000 x2
W1 0.5000 0.5000 0.0000 x1



No. 5
A relaxed Tm2GaSi4Pt3 crystal. Source: Alexandria, functional GGA-PBE.

Summary:
uncorrected energy: -6.101 eV per atom

Cell lengths 4.0335, 4.0335, 10.5605 Å; angles 90.00, 90.00, 90.00 degrees
Space group P-4m2 (No. 115)
Asymmetric unit:
Tm1 0.0000 0.5000 0.2434 x2
Ga1 0.5000 0.5000 0.0000 x1
Si1 0.0000 0.0000 0.5000 x1
Si2 0.0000 0.5000 0.8553 x2
Si3 0.5000 0.5000 0.5000 x1
Pt1 0.0000 0.0000 0.0000 x1
Pt2 0.0000 0.5000 0.6311 x2



No. 6
A relaxed BaTl2PdAu crystal. Source: Alexandria, functional GGA-PBE.

Summary:
ΔH_f (0 K): -1.31 eV per formula unit

Cell lengths 5.2651, 5.2651, 5.4400 Å; angles 90.00, 90.00, 90.00 degrees
Space group P4/mmm (No. 123)
Asymmetric unit:
Ba1 0.0000 0.0000 0.0000 x1
Tl1 0.0000 0.5000 0.5000 x2
Pd1 0.5000 0.5000 0.5000 x1
Au1 0.5000 0.5000 0.0000 x1